{"formula": "Li8Pd6Pt", "functional": "PBE", "state": "relaxed", "cell": [[8.089, 0.000, 0.000], [4.044, 7.005, 0.000], [4.044, 2.335, 4.262]], "species": ["Pd", "Li", "Pd", "Li", "Li", "Li", "Pd", "Pd", "Li", "Li", "Li", "Pd", "Pd", "Pt", "Li"], "frac_coords": [[0.666, 0.000, 0.000], [0.289, 0.925, 0.499], [0.335, 0.666, 0.000], [0.713, 0.711, 0.501], [0.287, 0.289, 0.499], [0.627, 0.627, 0.120], [0.000, 0.335, 0.000], [0.334, 0.000, 0.000], [0.711, 0.075, 0.501], [0.373, 0.373, 0.880], [0.925, 0.287, 0.499], [0.665, 0.334, 0.000], [0.000, 0.665, 0.000], [0.000, 0.000, 0.000], [0.075, 0.713, 0.501]], "ef_mev_per_atom": -364, "mass_density_g_cm3": 6.113, "space_group": "R-3, No. 148"}